Record 1
Computed, not measured: NaSmHo2Se4 after structural relaxation at the GGA-PBE level of DFT.

The structure belongs to space group P2/m (No. 10); the cell edges are 7.151, 4.083 and 7.173 Å and the angles 90.00°, 108.91° and 90.00°. The inequivalent atoms are Na at (0.000, 0.000, 0.000), Sm at (0.500, 0.500, 0.000), Ho at (0.000, 0.500, 0.500), Ho at (0.500, 0.000, 0.500), Se at (0.244, 0.000, 0.742) and Se at (0.253, 0.500, 0.260).

The uncorrected formation energy is -1.737 eV per atom. For the volume, the calculation gives 24.8 Å³/atom. The total energy is -5.3786 eV/atom. The value obtained for the density of states at the Fermi level is 2.60 states/eV/f.u.


Record 2
Computed, not measured: IrPt5 after structural relaxation at the GGA-PBE level of DFT.

The structure belongs to space group C2/m (No. 12); the cell edges are 9.268, 2.810 and 7.873 Å and the angles 90.00°, 115.03° and 90.00°. The inequivalent atoms are Ir at (0.000, 0.000, 0.000), Pt at (0.000, 0.000, 0.500), Pt at (0.163, 0.500, 0.837) and Pt at (0.168, 0.500, 0.329).

The excess energy over the best structure of this formula in the dataset comes out at 0.000 eV/atom. For the volume, the calculation gives 15.5 Å³/atom. The total energy is -6.4830 eV/atom. The value obtained for the density of states at the Fermi level is 10.05 states/eV/f.u. Its energy of formation is 0.028 eV per atom.


Record 3
Computed, not measured: La6Bi5Sb after structural relaxation at the GGA-PBE level of DFT.

The structure belongs to space group C2/m (No. 12); the cell edges are 8.130, 14.075 and 8.127 Å and the angles 90.00°, 109.47° and 90.00°. The inequivalent atoms are La at (0.247, 0.000, 0.251), La at (0.248, 0.165, 0.748), Bi at (0.000, 0.168, 0.000), Bi at (0.000, 0.334, 0.500), Bi at (0.000, 0.500, 0.000) and Sb at (0.000, 0.000, 0.500).

The uncorrected formation energy is -1.093 eV per atom. For the volume, the calculation gives 36.5 Å³/atom. The total energy is -5.5177 eV/atom. The value obtained for the density of states at the Fermi level is 1.57 states/eV/f.u.